# Th6CoPt2Se3 | Alexandria via LeMat-Bulk | PBE | relaxed
data_Th6CoPt2Se3
_chemical_formula_sum 'Th12 Co2 Pt4 Se6'
_space_group_name_H-M_alt 'C 1 2/m 1'
_space_group_IT_number 12
_space_group_name_Hall '-C 2y'
_cell_length_a 18.622
_cell_length_b 4.169
_cell_length_c 8.701
_cell_angle_alpha 90.00
_cell_angle_beta 107.94
_cell_angle_gamma 90.00
loop_
_atom_site_label
_atom_site_type_symbol
_atom_site_fract_x
_atom_site_fract_y
_atom_site_fract_z
Th1 Th 0.004 0.000 0.226
Th2 Th 0.152 0.500 0.089
Th3 Th 0.171 0.500 0.577
Co1 Co 0.000 0.500 0.000
Pt1 Pt 0.166 0.000 0.336
Se1 Se 0.000 0.500 0.500
Se2 Se 0.170 0.000 0.837
# raw formation energy: -1213 meV per atom

# TmPaTe2 | Alexandria via LeMat-Bulk | PBE | relaxed
data_TmPaTe2
_chemical_formula_sum 'Tm3 Pa3 Te6'
_space_group_name_H-M_alt 'R 3 m'
_space_group_IT_number 160
_space_group_name_Hall 'R 3 -2"'
_cell_length_a 3.9758
_cell_length_b 3.9758
_cell_length_c 24.9153
_cell_angle_alpha 90.00
_cell_angle_beta 90.00
_cell_angle_gamma 120.00
loop_
_atom_site_label
_atom_site_type_symbol
_atom_site_fract_x
_atom_site_fract_y
_atom_site_fract_z
Tm1 Tm 0.0000 0.0000 0.0000
Pa1 Pa 0.0000 0.0000 0.8316
Te1 Te 0.0000 0.0000 0.2513
Te2 Te 0.0000 0.0000 0.4133
# raw formation energy: -882 meV per atom
# distance to the lowest polymorph of the same formula: 0.000 eV/atom

# FeP2Ir | Alexandria via LeMat-Bulk | PBE | relaxed
data_FeP2Ir
_chemical_formula_sum 'Fe4 P8 Ir4'
_space_group_name_H-M_alt 'F m -3 m'
_space_group_IT_number 225
_space_group_name_Hall '-F 4 2 3'
_cell_length_a 5.870
_cell_length_b 5.870
_cell_length_c 5.870
_cell_angle_alpha 90.00
_cell_angle_beta 90.00
_cell_angle_gamma 90.00
loop_
_atom_site_label
_atom_site_type_symbol
_atom_site_fract_x
_atom_site_fract_y
_atom_site_fract_z
Fe1 Fe 0.000 0.000 0.000
P1 P 0.250 0.250 0.250
Ir1 Ir 0.000 0.000 0.500
# formation energy from the elements: -0.04 eV/atom
# distance to the lowest polymorph of the same formula: 0.329 eV/atom

# KCdW2 | Alexandria via LeMat-Bulk | PBE | relaxed
data_KCdW2
_chemical_formula_sum 'K2 Cd2 W4'
_space_group_name_H-M_alt 'C 1 m 1'
_space_group_IT_number 8
_space_group_name_Hall 'C -2y'
_cell_length_a 8.993
_cell_length_b 2.691
_cell_length_c 7.951
_cell_angle_alpha 90.00
_cell_angle_beta 91.58
_cell_angle_gamma 90.00
loop_
_atom_site_label
_atom_site_type_symbol
_atom_site_fract_x
_atom_site_fract_y
_atom_site_fract_z
K1 K 0.000 0.000 0.000
Cd1 Cd 0.255 0.500 0.328
W1 W 0.240 0.000 0.681
W2 W 0.490 0.000 0.534
# formation energy from the elements: 1.01 eV/atom

# BiMoPd2 | Alexandria via LeMat-Bulk | PBE | relaxed
data_BiMoPd2
_chemical_formula_sum 'Bi4 Mo4 Pd8'
_space_group_name_H-M_alt 'I -4 2 d'
_space_group_IT_number 122
_space_group_name_Hall 'I -4 2bw'
_cell_length_a 4.041
_cell_length_b 4.041
_cell_length_c 19.281
_cell_angle_alpha 90.00
_cell_angle_beta 90.00
_cell_angle_gamma 90.00
loop_
_atom_site_label
_atom_site_type_symbol
_atom_site_fract_x
_atom_site_fract_y
_atom_site_fract_z
Bi1 Bi 0.000 0.000 0.000
Mo1 Mo 0.000 0.000 0.500
Pd1 Pd 0.236 0.250 0.625
# formation energy from the elements: 0.47 eV/atom

# Sm2Er3Tm | Alexandria via LeMat-Bulk | PBE | relaxed
data_Sm2Er3Tm
_chemical_formula_sum 'Sm8 Er12 Tm4'
_space_group_name_H-M_alt 'C 1 2/m 1'
_space_group_IT_number 12
_space_group_name_Hall '-C 2y'
_cell_length_a 16.672
_cell_length_b 5.485
_cell_length_c 8.385
_cell_angle_alpha 90.00
_cell_angle_beta 92.65
_cell_angle_gamma 90.00
loop_
_atom_site_label
_atom_site_type_symbol
_atom_site_fract_x
_atom_site_fract_y
_atom_site_fract_z
Sm1 Sm 0.095 0.000 0.091
Sm2 Sm 0.107 0.500 0.835
Er1 Er 0.085 0.500 0.393
Er2 Er 0.222 0.000 0.412
Er3 Er 0.249 0.000 0.843
Tm1 Tm 0.059 0.000 0.653
# formation energy from the elements: 0.09 eV/atom
# distance to the lowest polymorph of the same formula: 0.000 eV/atom